# CeLuBi2

CeLuBi2 after structural relaxation (PBE-GGA, Alexandria).

Cell: 4.1289 4.1289 6.8437 Å, 90.00 90.00 90.00°
Element x y z (fractional)
Ce1 0.0000 0.0000 0.0000
Lu1 0.0000 0.0000 0.5000
Bi1 0.5000 0.5000 0.2544
Bi2 0.5000 0.5000 0.7456

Summary:
relative energy among the computed polymorphs	0.195	eV per atom
space group	P4/mmm, No. 123
energy of formation	-0.564	eV per atom

***

# Tb3DyHo4S8

Tb3DyHo4S8 after structural relaxation (PBE-GGA, Alexandria).

Cell: 7.8106 7.8106 7.8106 Å, 59.95 59.95 59.95°
Element x y z (fractional)
Tb1 0.0000 0.5000 0.5000
Tb2 0.5000 0.0000 0.5000
Tb3 0.5000 0.5000 0.0000
Dy1 0.0000 0.0000 0.0000
Ho1 0.0000 0.0000 0.5000
Ho2 0.0000 0.5000 0.0000
Ho3 0.5000 0.0000 0.0000
Ho4 0.5000 0.5000 0.5000
S1 0.2478 0.7493 0.7493
S2 0.2485 0.2485 0.2485
S3 0.2507 0.2507 0.7522
S4 0.2507 0.7522 0.2507
S5 0.7493 0.2478 0.7493
S6 0.7493 0.7493 0.2478
S7 0.7515 0.7515 0.7515
S8 0.7522 0.2507 0.2507

Summary:
raw formation energy	-1.986	eV/atom
space group	R-3m, No. 166

***

Number 1: energy -5.119 eV per atom, magnetic moment 1.0 μB/cell, Fermi-level density of states 1.79 states/eV/atom. Number 2: energy -6.350 eV per atom, magnetic moment 0.0 μB/cell, Fermi-level density of states 0.57 states/eV/atom.